# 1
The following is a DFT calculation (PBE-GGA) of a geometry-optimized MnCdCl2 structure.

* formation energy (no corrections): -0.564 eV per atom
* symmetry: Immm
* polymorph energy (0 for the lowest one): 125.6 meV per atom

```
data_MnCdCl2
_chemical_formula_sum 'Mn1 Cd1 Cl2'
_cell_length_a 6.460
_cell_length_b 6.460
_cell_length_c 6.460
_cell_angle_alpha 149.40
_cell_angle_beta 124.61
_cell_angle_gamma 64.62
_space_group_name_H-M_alt 'P 1'
_space_group_IT_number 1
loop_
_space_group_symop_operation_xyz
'x,y,z'
loop_
_atom_site_label
_atom_site_type_symbol
_atom_site_fract_x
_atom_site_fract_y
_atom_site_fract_z
Mn1 Mn 0.000 0.000 0.000
Cd1 Cd 0.500 0.500 0.000
Cl1 Cl 0.158 0.658 0.500
Cl2 Cl 0.842 0.342 0.500
```

# 2
The following is a DFT calculation (PBE-GGA) of a geometry-optimized MnCdCl structure.

* formation energy (no corrections): -0.082 eV per atom
* symmetry: Fmm2
* polymorph energy (0 for the lowest one): 108.8 meV per atom

```
data_MnCdCl
_chemical_formula_sum 'Mn1 Cd1 Cl1'
_cell_length_a 7.486
_cell_length_b 7.145
_cell_length_c 3.285
_cell_angle_alpha 82.90
_cell_angle_beta 71.29
_cell_angle_gamma 25.81
_space_group_name_H-M_alt 'P 1'
_space_group_IT_number 1
loop_
_space_group_symop_operation_xyz
'x,y,z'
loop_
_atom_site_label
_atom_site_type_symbol
_atom_site_fract_x
_atom_site_fract_y
_atom_site_fract_z
Mn1 Mn 0.000 0.000 0.000
Cd1 Cd 0.658 0.658 0.342
Cl1 Cl 0.378 0.378 0.622
```

# 3
The following is a DFT calculation (PBE-GGA) of a geometry-optimized MnCdCl structure.

* formation energy (no corrections): 0.113 eV per atom
* symmetry: P3m1
* polymorph energy (0 for the lowest one): 302.8 meV per atom

```
data_MnCdCl
_chemical_formula_sum 'Mn1 Cd1 Cl1'
_cell_length_a 4.177
_cell_length_b 4.177
_cell_length_c 4.547
_cell_angle_alpha 90.00
_cell_angle_beta 90.00
_cell_angle_gamma 120.00
_space_group_name_H-M_alt 'P 1'
_space_group_IT_number 1
loop_
_space_group_symop_operation_xyz
'x,y,z'
loop_
_atom_site_label
_atom_site_type_symbol
_atom_site_fract_x
_atom_site_fract_y
_atom_site_fract_z
Mn1 Mn 0.000 0.000 0.000
Cd1 Cd 0.333 0.667 0.502
Cl1 Cl 0.667 0.333 0.003
```

# 4
The following is a DFT calculation (PBE-GGA) of a geometry-optimized MnCd2Cl structure.

* formation energy (no corrections): 0.156 eV per atom
* symmetry: I4/mmm
* polymorph energy (0 for the lowest one): 237.9 meV per atom

```
data_MnCd2Cl
_chemical_formula_sum 'Mn1 Cd2 Cl1'
_cell_length_a 6.176
_cell_length_b 6.176
_cell_length_c 6.176
_cell_angle_alpha 141.86
_cell_angle_beta 141.86
_cell_angle_gamma 55.04
_space_group_name_H-M_alt 'P 1'
_space_group_IT_number 1
loop_
_space_group_symop_operation_xyz
'x,y,z'
loop_
_atom_site_label
_atom_site_type_symbol
_atom_site_fract_x
_atom_site_fract_y
_atom_site_fract_z
Mn1 Mn 0.000 0.000 0.000
Cd1 Cd 0.250 0.750 0.500
Cd2 Cd 0.750 0.250 0.500
Cl1 Cl 0.500 0.500 0.000
```

# 5
The following is a DFT calculation (PBE-GGA) of a geometry-optimized MnCdCl3 structure.

* formation energy (no corrections): -0.338 eV per atom
* symmetry: Pm-3m
* polymorph energy (0 for the lowest one): 341.5 meV per atom

```
data_MnCdCl3
_chemical_formula_sum 'Mn1 Cd1 Cl3'
_cell_length_a 5.208
_cell_length_b 5.208
_cell_length_c 5.208
_cell_angle_alpha 90.00
_cell_angle_beta 90.00
_cell_angle_gamma 90.00
_space_group_name_H-M_alt 'P 1'
_space_group_IT_number 1
loop_
_space_group_symop_operation_xyz
'x,y,z'
loop_
_atom_site_label
_atom_site_type_symbol
_atom_site_fract_x
_atom_site_fract_y
_atom_site_fract_z
Mn1 Mn 0.000 0.000 0.000
Cd1 Cd 0.500 0.500 0.500
Cl1 Cl 0.000 0.500 0.500
Cl2 Cl 0.500 0.000 0.500
Cl3 Cl 0.500 0.500 0.000
```

# 6
The following is a DFT calculation (PBE-GGA) of a geometry-optimized MnCd2Cl structure.

* formation energy (no corrections): 0.166 eV per atom
* symmetry: I-4m2
* polymorph energy (0 for the lowest one): 248.2 meV per atom

```
data_MnCd2Cl
_chemical_formula_sum 'Mn1 Cd2 Cl1'
_cell_length_a 5.740
_cell_length_b 5.740
_cell_length_c 5.740
_cell_angle_alpha 137.32
_cell_angle_beta 137.32
_cell_angle_gamma 61.94
_space_group_name_H-M_alt 'P 1'
_space_group_IT_number 1
loop_
_space_group_symop_operation_xyz
'x,y,z'
loop_
_atom_site_label
_atom_site_type_symbol
_atom_site_fract_x
_atom_site_fract_y
_atom_site_fract_z
Mn1 Mn 0.000 0.000 0.000
Cd1 Cd 0.250 0.750 0.500
Cd2 Cd 0.500 0.500 0.000
Cl1 Cl 0.750 0.250 0.500
```

# 7
The following is a DFT calculation (PBE-GGA) of a geometry-optimized MnCd2Cl structure.

* formation energy (no corrections): 0.103 eV per atom
* symmetry: Pmmm
* polymorph energy (0 for the lowest one): 184.9 meV per atom

```
data_MnCd2Cl
_chemical_formula_sum 'Mn1 Cd2 Cl1'
_cell_length_a 3.105
_cell_length_b 4.907
_cell_length_c 5.632
_cell_angle_alpha 90.00
_cell_angle_beta 90.00
_cell_angle_gamma 90.00
_space_group_name_H-M_alt 'P 1'
_space_group_IT_number 1
loop_
_space_group_symop_operation_xyz
'x,y,z'
loop_
_atom_site_label
_atom_site_type_symbol
_atom_site_fract_x
_atom_site_fract_y
_atom_site_fract_z
Mn1 Mn 0.000 0.000 0.000
Cd1 Cd 0.000 0.500 0.500
Cd2 Cd 0.500 0.000 0.500
Cl1 Cl 0.500 0.500 0.000
```

# 8
The following is a DFT calculation (PBE-GGA) of a geometry-optimized MnCdCl5 structure.

* formation energy (no corrections): -0.950 eV per atom
* symmetry: C2/c

```
data_MnCdCl5
_chemical_formula_sum 'Mn2 Cd2 Cl10'
_cell_length_a 7.364
_cell_length_b 7.364
_cell_length_c 8.909
_cell_angle_alpha 97.51
_cell_angle_beta 97.51
_cell_angle_gamma 124.93
_space_group_name_H-M_alt 'P 1'
_space_group_IT_number 1
loop_
_space_group_symop_operation_xyz
'x,y,z'
loop_
_atom_site_label
_atom_site_type_symbol
_atom_site_fract_x
_atom_site_fract_y
_atom_site_fract_z
Mn1 Mn 0.000 0.000 0.000
Mn2 Mn 0.000 0.000 0.500
Cd1 Cd 0.469 0.531 0.750
Cd2 Cd 0.531 0.469 0.250
Cl1 Cl 0.042 0.324 0.619
Cl2 Cl 0.073 0.927 0.750
Cl3 Cl 0.232 0.419 0.028
Cl4 Cl 0.324 0.042 0.119
Cl5 Cl 0.419 0.232 0.528
Cl6 Cl 0.581 0.768 0.472
Cl7 Cl 0.676 0.958 0.881
Cl8 Cl 0.768 0.581 0.972
Cl9 Cl 0.927 0.073 0.250
Cl10 Cl 0.958 0.676 0.381
```

# 9
The following is a DFT calculation (PBE-GGA) of a geometry-optimized MnCdCl2 structure.

* formation energy (no corrections): -0.689 eV per atom
* symmetry: R-3m
* polymorph energy (0 for the lowest one): 0.0 meV per atom

```
data_MnCdCl2
_chemical_formula_sum 'Mn1 Cd1 Cl2'
_cell_length_a 10.140
_cell_length_b 10.140
_cell_length_c 10.140
_cell_angle_alpha 20.47
_cell_angle_beta 20.47
_cell_angle_gamma 20.47
_space_group_name_H-M_alt 'P 1'
_space_group_IT_number 1
loop_
_space_group_symop_operation_xyz
'x,y,z'
loop_
_atom_site_label
_atom_site_type_symbol
_atom_site_fract_x
_atom_site_fract_y
_atom_site_fract_z
Mn1 Mn 0.000 0.000 0.000
Cd1 Cd 0.500 0.500 0.500
Cl1 Cl 0.285 0.285 0.285
Cl2 Cl 0.715 0.715 0.715
```

# 10
The following is a DFT calculation (PBE-GGA) of a geometry-optimized MnCdCl2 structure.

* formation energy (no corrections): -0.584 eV per atom
* symmetry: Cm
* polymorph energy (0 for the lowest one): 105.4 meV per atom

```
data_MnCdCl2
_chemical_formula_sum 'Mn1 Cd1 Cl2'
_cell_length_a 6.522
_cell_length_b 6.522
_cell_length_c 7.327
_cell_angle_alpha 123.93
_cell_angle_beta 123.93
_cell_angle_gamma 29.88
_space_group_name_H-M_alt 'P 1'
_space_group_IT_number 1
loop_
_space_group_symop_operation_xyz
'x,y,z'
loop_
_atom_site_label
_atom_site_type_symbol
_atom_site_fract_x
_atom_site_fract_y
_atom_site_fract_z
Mn1 Mn 0.000 0.000 0.000
Cd1 Cd 0.259 0.259 0.752
Cl1 Cl 0.560 0.560 0.293
Cl2 Cl 0.569 0.569 0.840
```

# 11
The following is a DFT calculation (PBE-GGA) of a geometry-optimized Mn2CdCl8 structure.

* formation energy (no corrections): -0.823 eV per atom
* symmetry: P-1

```
data_Mn2CdCl8
_chemical_formula_sum 'Mn2 Cd1 Cl8'
_cell_length_a 3.287
_cell_length_b 9.480
_cell_length_c 9.843
_cell_angle_alpha 84.19
_cell_angle_beta 80.50
_cell_angle_gamma 89.98
_space_group_name_H-M_alt 'P 1'
_space_group_IT_number 1
loop_
_space_group_symop_operation_xyz
'x,y,z'
loop_
_atom_site_label
_atom_site_type_symbol
_atom_site_fract_x
_atom_site_fract_y
_atom_site_fract_z
Mn1 Mn 0.163 0.220 0.162
Mn2 Mn 0.837 0.780 0.838
Cd1 Cd 0.500 0.500 0.500
Cl1 Cl 0.038 0.695 0.422
Cl2 Cl 0.249 0.791 0.019
Cl3 Cl 0.361 0.588 0.784
Cl4 Cl 0.401 0.922 0.709
Cl5 Cl 0.599 0.078 0.291
Cl6 Cl 0.639 0.412 0.216
Cl7 Cl 0.751 0.209 0.981
Cl8 Cl 0.962 0.305 0.578
```

# 12
The following is a DFT calculation (PBE-GGA) of a geometry-optimized MnCd3Cl structure.

* formation energy (no corrections): 0.276 eV per atom
* symmetry: Pm-3m
* polymorph energy (0 for the lowest one): 0.0 meV per atom

```
data_MnCd3Cl
_chemical_formula_sum 'Mn1 Cd3 Cl1'
_cell_length_a 5.330
_cell_length_b 5.330
_cell_length_c 5.330
_cell_angle_alpha 90.00
_cell_angle_beta 90.00
_cell_angle_gamma 90.00
_space_group_name_H-M_alt 'P 1'
_space_group_IT_number 1
loop_
_space_group_symop_operation_xyz
'x,y,z'
loop_
_atom_site_label
_atom_site_type_symbol
_atom_site_fract_x
_atom_site_fract_y
_atom_site_fract_z
Mn1 Mn 0.000 0.000 0.000
Cd1 Cd 0.000 0.000 0.500
Cd2 Cd 0.000 0.500 0.000
Cd3 Cd 0.500 0.000 0.000
Cl1 Cl 0.500 0.500 0.500
```

# 13
The following is a DFT calculation (PBE-GGA) of a geometry-optimized MnCdCl2 structure.

* formation energy (no corrections): -0.059 eV per atom
* symmetry: Fm-3m
* polymorph energy (0 for the lowest one): 630.4 meV per atom

```
data_MnCdCl2
_chemical_formula_sum 'Mn1 Cd1 Cl2'
_cell_length_a 4.975
_cell_length_b 4.975
_cell_length_c 4.975
_cell_angle_alpha 60.00
_cell_angle_beta 60.00
_cell_angle_gamma 60.00
_space_group_name_H-M_alt 'P 1'
_space_group_IT_number 1
loop_
_space_group_symop_operation_xyz
'x,y,z'
loop_
_atom_site_label
_atom_site_type_symbol
_atom_site_fract_x
_atom_site_fract_y
_atom_site_fract_z
Mn1 Mn 0.000 0.000 0.000
Cd1 Cd 0.500 0.500 0.500
Cl1 Cl 0.250 0.250 0.250
Cl2 Cl 0.750 0.750 0.750
```

# 14
The following is a DFT calculation (PBE-GGA) of a geometry-optimized MnCdCl2 structure.

* formation energy (no corrections): 0.081 eV per atom
* symmetry: F-43m
* polymorph energy (0 for the lowest one): 770.9 meV per atom

```
data_MnCdCl2
_chemical_formula_sum 'Mn1 Cd1 Cl2'
_cell_length_a 5.006
_cell_length_b 5.006
_cell_length_c 5.006
_cell_angle_alpha 60.00
_cell_angle_beta 60.00
_cell_angle_gamma 60.00
_space_group_name_H-M_alt 'P 1'
_space_group_IT_number 1
loop_
_space_group_symop_operation_xyz
'x,y,z'
loop_
_atom_site_label
_atom_site_type_symbol
_atom_site_fract_x
_atom_site_fract_y
_atom_site_fract_z
Mn1 Mn 0.000 0.000 0.000
Cd1 Cd 0.750 0.750 0.750
Cl1 Cl 0.250 0.250 0.250
Cl2 Cl 0.500 0.500 0.500
```

# 15
The following is a DFT calculation (PBE-GGA) of a geometry-optimized MnCd2Cl structure.

* formation energy (no corrections): -0.072 eV per atom
* symmetry: Cmm2
* polymorph energy (0 for the lowest one): 10.4 meV per atom

```
data_MnCd2Cl
_chemical_formula_sum 'Mn1 Cd2 Cl1'
_cell_length_a 3.223
_cell_length_b 3.223
_cell_length_c 10.019
_cell_angle_alpha 90.00
_cell_angle_beta 90.00
_cell_angle_gamma 119.05
_space_group_name_H-M_alt 'P 1'
_space_group_IT_number 1
loop_
_space_group_symop_operation_xyz
'x,y,z'
loop_
_atom_site_label
_atom_site_type_symbol
_atom_site_fract_x
_atom_site_fract_y
_atom_site_fract_z
Mn1 Mn 0.000 0.000 0.000
Cd1 Cd 0.000 0.000 0.510
Cd2 Cd 0.500 0.500 0.773
Cl1 Cl 0.500 0.500 0.171
```